Record 1
Entry from Alexandria via LeMat-Bulk: a relaxed structure of Ca3Cd5P8O28 (PBE).

extended XYZ file:
```
44
Lattice="6.7452 0.0000 0.0000 2.8704 6.2903 0.0000 1.6484 0.3729 13.3845" Properties=species:S:1:pos:R:3 pbc="T T T"
Ca 0.0000 0.0000 0.0000
Ca 3.6809 6.4193 6.6788
Ca 5.1842 2.2091 4.8524
Cd 3.1748 2.7904 8.0494
Cd 2.4249 2.6162 1.3580
Cd 6.4406 6.0355 10.1326
Cd 5.6463 5.8757 3.4471
Cd 6.0499 2.3378 11.5040
P 2.0172 2.7625 4.7184
P 2.8395 2.9235 11.3796
P 6.0229 5.7381 0.0990
P 6.8289 5.8586 6.8042
P 6.6051 3.2174 8.1979
P 5.8344 3.0982 1.4834
P 9.7873 5.5929 10.0542
P 8.9740 5.4013 3.3503
O 3.3319 5.0912 8.6270
O 2.5238 4.9102 1.9175
O 4.2815 5.9470 10.8667
O 3.4754 5.7223 4.1685
O 3.0912 3.0426 5.7859
O 3.9829 3.1224 12.4034
O 3.4364 2.1464 10.1905
O 2.7437 2.0026 3.5785
O 3.2153 0.3419 7.9239
O 2.4389 0.2039 1.2509
O 6.5961 5.8518 12.4203
O 5.7721 5.5586 5.7263
O 5.3596 2.9166 7.3740
O 4.5810 2.7589 0.6855
O 6.3149 3.7081 9.6418
O 5.5449 3.5855 2.9176
O 5.2180 0.2487 6.2948
O 6.0715 0.4929 12.9786
O 7.3570 4.4806 7.4599
O 6.5633 4.3465 0.7054
O 5.8230 0.3868 10.0821
O 5.0371 0.2139 3.3888
O 7.6701 2.1185 8.1437
O 6.9147 2.0074 1.4442
O 8.2274 4.1524 4.1110
O 9.0658 4.3451 10.8380
O 8.3334 2.2911 11.9786
O 7.5118 2.0768 5.2409
```

Summary:
The calculation puts the magnetic moment at 0.00 μB/atom. The value obtained for the energy relative to the elements, uncorrected is -215.5 kJ per mole of atoms. The density of states at the Fermi level comes out at 0.00 states/eV per cell.



Record 2
Entry from Alexandria via LeMat-Bulk: a relaxed structure of CaPaCd2O6 (PBE).

extended XYZ file:
```
10
Lattice="2.8960 1.6720 5.2065 -2.8960 1.6720 5.2065 0.0000 -3.3441 5.2065" Properties=species:S:1:pos:R:3 pbc="T T T"
Ca 0.0000 0.0000 0.0000
Pa 0.0000 0.0000 7.7003
Cd 0.0000 0.0000 4.3950
Cd 0.0000 0.0000 12.3254
O -1.6614 0.0113 6.2773
O -1.0970 -1.5523 8.7821
O 0.8209 -1.4444 6.2773
O -0.7958 1.7262 8.7821
O 0.8404 1.4332 6.2773
O 1.8928 -0.1739 8.7821
```

Summary:
The calculation puts the magnetic moment at 0.11 μB/atom. The value obtained for the energy relative to the elements, uncorrected is -212.4 kJ per mole of atoms. The density of states at the Fermi level comes out at 8.83 states/eV per cell.